Here is CrO2 after structural relaxation from Alexandria. Energies are from PBE+U.

Calculated values
The calculation puts the total energy at -7.225 eV/atom. The total magnetization is 2.0 μB/f.u. Its space group is Fd-3m, No. 227.

```
data_CrO2
_space_group_name_H-M_alt 'P 1'
_space_group_IT_number 1
_space_group_name_Hall 'P 1'
_cell_length_a 5.9326
_cell_length_b 5.9326
_cell_length_c 5.9326
_cell_angle_alpha 60.00
_cell_angle_beta 60.00
_cell_angle_gamma 60.00
loop_
_atom_site_label
_atom_site_fract_x
_atom_site_fract_y
_atom_site_fract_z
Cr1 0.6250 0.6250 0.6250
Cr2 0.1250 0.6250 0.6250
Cr3 0.6250 0.1250 0.6250
Cr4 0.6250 0.6250 0.1250
O1 0.8563 0.8563 0.4311
O2 0.8563 0.4311 0.8563
O3 0.8563 0.8563 0.8563
O4 0.4311 0.8563 0.8563
O5 0.3937 0.3937 0.3937
O6 0.8189 0.3937 0.3937
O7 0.3937 0.8189 0.3937
O8 0.3937 0.3937 0.8189
```